Record 1
PBE-GGA Pm3NdSm3, optimized geometry; DOS(E_F) = 24.23 states/eV/cell; distance to the lowest polymorph of the same formula = 0 meV per atom; E = -4.71 eV/atom; total magnetic moment = 0.00 μB/atom
1.0
9.768 0.000 0.000
-4.884 8.459 0.000
0.000 0.000 5.863
Pm Nd Sm
6 2 6
Direct
0.048 0.810 0.250
0.190 0.238 0.250
0.238 0.048 0.750
0.762 0.952 0.250
0.810 0.762 0.750
0.952 0.190 0.750
0.333 0.667 0.250
0.667 0.333 0.750
0.095 0.619 0.750
0.381 0.476 0.750
0.476 0.095 0.250
0.524 0.905 0.750
0.619 0.524 0.250
0.905 0.381 0.250

Record 2
PBE-GGA Pm2Nd5Sm3, optimized geometry; DOS(E_F) = 30.69 states/eV/cell; distance to the lowest polymorph of the same formula = 174 meV per atom; E = -4.40 eV/atom; total magnetic moment = 0.00 μB/atom
1.0
-4.773 11.152 3.468
4.773 -11.152 3.468
4.773 11.152 -3.468
Pm Nd Sm
4 10 6
Direct
0.122 0.096 0.218
0.378 0.596 0.974
0.622 0.404 0.026
0.878 0.904 0.782
0.002 0.250 0.752
0.127 0.404 0.531
0.250 0.750 0.500
0.373 0.904 0.277
0.498 0.250 0.248
0.502 0.750 0.752
0.627 0.096 0.723
0.750 0.250 0.500
0.873 0.596 0.469
0.998 0.750 0.248
0.123 0.751 0.874
0.250 0.250 0.000
0.377 0.251 0.629
0.623 0.749 0.371
0.750 0.750 0.000
0.877 0.249 0.126

Record 3
PBE-GGA Pm7Nd12Sm, optimized geometry; DOS(E_F) = 24.76 states/eV/cell; distance to the lowest polymorph of the same formula = 186 meV per atom; E = -4.49 eV/atom; total magnetic moment = 0.00 μB/atom
1.0
9.459 5.461 2.323
-9.459 5.461 2.323
0.000 -10.922 2.323
Pm Nd Sm
7 12 1
Direct
0.000 0.000 0.000
0.119 0.282 0.425
0.282 0.425 0.119
0.425 0.119 0.282
0.575 0.881 0.718
0.718 0.575 0.881
0.881 0.718 0.575
0.003 0.573 0.788
0.212 0.997 0.427
0.230 0.297 0.752
0.248 0.770 0.703
0.297 0.752 0.230
0.427 0.212 0.997
0.573 0.788 0.003
0.703 0.248 0.770
0.752 0.230 0.297
0.770 0.703 0.248
0.788 0.003 0.573
0.997 0.427 0.212
0.500 0.500 0.500

Record 4
PBE-GGA PmNd6Sm6, optimized geometry; DOS(E_F) = 25.90 states/eV/cell; E = -4.49 eV/atom; total magnetic moment = 0.00 μB/atom
1.0
6.767 0.000 0.000
-3.384 5.860 0.000
0.000 0.000 11.625
Pm Nd Sm
1 6 6
Direct
0.000 0.000 0.000
0.000 0.000 0.351
0.000 0.000 0.649
0.333 0.667 0.000
0.333 0.667 0.500
0.667 0.333 0.000
0.667 0.333 0.500
0.000 0.500 0.250
0.000 0.500 0.750
0.500 0.000 0.250
0.500 0.000 0.750
0.500 0.500 0.250
0.500 0.500 0.750

Record 5
PBE-GGA Pm3Nd2Sm2, optimized geometry; DOS(E_F) = 10.05 states/eV/cell; distance to the lowest polymorph of the same formula = 0 meV per atom; E = -4.73 eV/atom; total magnetic moment = 0.00 μB/atom
1.0
3.653 0.000 0.000
1.816 6.053 0.000
0.021 1.109 10.932
Pm Nd Sm
3 2 2
Direct
0.000 0.000 0.000
0.143 0.714 0.571
0.857 0.286 0.429
0.286 0.429 0.144
0.714 0.571 0.856
0.429 0.142 0.713
0.571 0.858 0.287

Record 6
PBE-GGA Pm3Nd4Sm2, optimized geometry; DOS(E_F) = 13.80 states/eV/cell; distance to the lowest polymorph of the same formula = 0 meV per atom; E = -4.74 eV/atom; total magnetic moment = 0.00 μB/atom
1.0
6.340 0.000 0.000
3.167 5.492 0.000
3.163 -1.821 8.963
Pm Nd Sm
3 4 2
Direct
0.000 0.000 0.000
0.445 0.444 0.334
0.555 0.556 0.666
0.111 0.111 0.334
0.333 0.334 0.000
0.667 0.666 0.000
0.889 0.889 0.666
0.222 0.222 0.666
0.778 0.778 0.334

Record 7
PBE-GGA PmNd6Sm2, optimized geometry; DOS(E_F) = 14.59 states/eV/cell; distance to the lowest polymorph of the same formula = 190 meV per atom; E = -4.56 eV/atom; total magnetic moment = 0.09 μB/atom
1.0
6.602 -3.812 0.000
6.602 3.812 0.000
-0.001 0.000 6.333
Pm Nd Sm
1 6 2
Direct
0.000 0.000 0.000
0.187 0.187 0.292
0.187 0.625 0.292
0.375 0.813 0.708
0.625 0.187 0.292
0.813 0.375 0.708
0.813 0.813 0.708
0.333 0.333 0.788
0.667 0.667 0.212

Record 8
PBE-GGA Pm2Nd5Sm5, optimized geometry; DOS(E_F) = 18.57 states/eV/cell; E = -4.73 eV/atom; total magnetic moment = 0.00 μB/atom
1.0
7.756 -2.583 0.000
7.756 2.583 0.000
-5.169 0.000 10.344
Pm Nd Sm
2 5 5
Direct
0.083 0.083 0.251
0.917 0.917 0.749
0.000 0.000 0.500
0.166 0.166 0.000
0.250 0.250 0.749
0.750 0.750 0.251
0.834 0.834 0.000
0.333 0.333 0.500
0.417 0.417 0.250
0.500 0.500 0.000
0.583 0.583 0.750
0.667 0.667 0.500

Record 9
PBE-GGA PmNd4Sm8, optimized geometry; DOS(E_F) = 19.48 states/eV/cell; E = -4.25 eV/atom; total magnetic moment = 0.12 μB/atom
1.0
7.923 0.000 0.000
0.000 7.923 0.000
0.000 0.000 7.923
Pm Nd Sm
1 4 8
Direct
0.000 0.000 0.000
0.000 0.000 0.500
0.000 0.500 0.000
0.500 0.000 0.000
0.500 0.500 0.500
0.261 0.261 0.261
0.261 0.261 0.739
0.261 0.739 0.261
0.261 0.739 0.739
0.739 0.261 0.261
0.739 0.261 0.739
0.739 0.739 0.261
0.739 0.739 0.739

Record 10
PBE-GGA PmNd5Sm5, optimized geometry; DOS(E_F) = 17.61 states/eV/cell; distance to the lowest polymorph of the same formula = 99 meV per atom; E = -4.51 eV/atom; total magnetic moment = 0.02 μB/atom
1.0
9.365 -3.071 0.000
9.365 3.071 0.000
-2.188 0.000 6.716
Pm Nd Sm
1 5 5
Direct
0.000 0.000 0.000
0.000 0.000 0.500
0.329 0.329 0.806
0.373 0.373 0.348
0.627 0.627 0.652
0.671 0.671 0.194
0.174 0.174 0.924
0.177 0.177 0.416
0.500 0.500 0.000
0.823 0.823 0.584
0.826 0.826 0.076

Record 11
PBE-GGA PmNd6Sm5, optimized geometry; DOS(E_F) = 18.59 states/eV/cell; E = -4.73 eV/atom; total magnetic moment = 0.00 μB/atom
1.0
8.169 -5.170 0.000
8.169 5.170 0.000
-1.633 0.000 4.908
Pm Nd Sm
1 6 5
Direct
0.000 0.000 0.000
0.083 0.583 0.833
0.250 0.750 0.500
0.417 0.917 0.167
0.583 0.083 0.833
0.750 0.250 0.500
0.917 0.417 0.167
0.167 0.167 0.667
0.333 0.333 0.333
0.500 0.500 0.000
0.667 0.667 0.667
0.833 0.833 0.333

Record 12
PBE-GGA Pm8Nd2Sm3, optimized geometry; DOS(E_F) = 20.09 states/eV/cell; distance to the lowest polymorph of the same formula = 86 meV per atom; E = -4.50 eV/atom; total magnetic moment = 0.00 μB/atom
1.0
7.505 -4.613 0.000
7.505 4.613 0.000
-1.111 0.000 6.815
Pm Nd Sm
8 2 3
Direct
0.066 0.705 0.067
0.084 0.084 0.375
0.293 0.293 0.700
0.295 0.934 0.933
0.705 0.066 0.067
0.707 0.707 0.300
0.916 0.916 0.625
0.934 0.295 0.933
0.300 0.300 0.213
0.700 0.700 0.787
0.331 0.669 0.500
0.500 0.500 0.000
0.669 0.331 0.500